TiVO4 after structural relaxation, computed with PBE+U.

## Properties
The crystal system is monoclinic. The energy comes out at -8.33 eV/atom. The size of the total moment comes out at 4.00 Bohr magnetons per cell.

The structure in CIF format:
```
data_TiVO4
_chemical_formula_sum 'Ti4 V4 O16'
_space_group_name_H-M_alt 'P 1 21/c 1'
_space_group_IT_number 14
_cell_length_a 7.457
_cell_length_b 4.711
_cell_length_c 9.765
_cell_angle_alpha 90.00
_cell_angle_beta 129.01
_cell_angle_gamma 90.00
loop_
_space_group_symop_operation_xyz
'x,y,z'
'-x,-y,-z'
'-x,y+1/2,-z+1/2'
'x,-y+1/2,z+1/2'
loop_
_atom_site_label
_atom_site_type_symbol
_atom_site_fract_x
_atom_site_fract_y
_atom_site_fract_z
Ti1 Ti 0.101 0.029 0.184
V1 V 0.368 0.008 0.581
O1 O 0.115 0.712 0.856
O2 O 0.127 0.216 0.020
O3 O 0.372 0.186 0.394
O4 O 0.379 0.749 0.723
```